one.
Ca4AgN | GGA-PBE | optimized geometry

## Properties
- N(E_F) (states/eV/f.u.) = 3.429

CIF file:
```
data_Ca4AgN
_chemical_formula_sum 'Ca8 Ag2 N2'
_space_group_name_H-M_alt 'P 1'
_space_group_IT_number 1
_space_group_name_Hall 'P 1'
_cell_length_a 6.320
_cell_length_b 7.101
_cell_length_c 8.042
_cell_angle_alpha 105.33
_cell_angle_beta 113.14
_cell_angle_gamma 90.00
loop_
_atom_site_label
_atom_site_type_symbol
_atom_site_fract_x
_atom_site_fract_y
_atom_site_fract_z
_atom_site_occupancy
N1 N 0.000 0.500 0.500 1
N2 N 0.500 0.000 0.500 1
Ag1 Ag 0.163 0.250 0.000 1
Ag2 Ag 0.837 0.750 0.000 1
Ca1 Ca 0.492 0.950 0.202 1
Ca2 Ca 0.140 0.169 0.379 1
Ca3 Ca 0.508 0.050 0.798 1
Ca4 Ca 0.239 0.669 0.379 1
Ca5 Ca 0.860 0.831 0.621 1
Ca6 Ca 0.761 0.331 0.621 1
Ca7 Ca 0.709 0.450 0.202 1
Ca8 Ca 0.291 0.550 0.798 1
```

***

two.
Ca4AgN | GGA-PBE | optimized geometry

## Properties
- N(E_F) (states/eV/f.u.) = 3.888

CIF file:
```
data_Ca4AgN
_chemical_formula_sum 'Ca8 Ag2 N2'
_space_group_name_H-M_alt 'P 1'
_space_group_IT_number 1
_space_group_name_Hall 'P 1'
_cell_length_a 4.883
_cell_length_b 6.973
_cell_length_c 9.875
_cell_angle_alpha 90.00
_cell_angle_beta 104.32
_cell_angle_gamma 90.00
loop_
_atom_site_label
_atom_site_type_symbol
_atom_site_fract_x
_atom_site_fract_y
_atom_site_fract_z
_atom_site_occupancy
Ca1 Ca 0.176 0.996 0.352 1
Ca2 Ca 0.585 0.750 0.171 1
Ca3 Ca 0.000 0.000 0.000 1
Ca4 Ca 0.415 0.250 0.829 1
Ca5 Ca 0.176 0.504 0.352 1
Ca6 Ca 0.824 0.496 0.648 1
Ca7 Ca 0.000 0.500 0.000 1
Ca8 Ca 0.824 0.004 0.648 1
N1 N 0.908 0.250 0.815 1
N2 N 0.092 0.750 0.185 1
Ag1 Ag 0.403 0.750 0.807 1
Ag2 Ag 0.597 0.250 0.193 1
```

***

Most stable: two (next structure +0.057 eV/atom)

***

one.
CaAgSe2N | GGA-PBE | optimized geometry

## Properties
- N(E_F) (states/eV/f.u.) = 4.116

CIF file:
```
data_CaAgSe2N
_chemical_formula_sum 'Ca1 Ag1 Se2 N1'
_space_group_name_H-M_alt 'P 1'
_space_group_IT_number 1
_space_group_name_Hall 'P 1'
_cell_length_a 5.260
_cell_length_b 5.260
_cell_length_c 4.072
_cell_angle_alpha 90.00
_cell_angle_beta 90.00
_cell_angle_gamma 90.00
loop_
_atom_site_label
_atom_site_type_symbol
_atom_site_fract_x
_atom_site_fract_y
_atom_site_fract_z
_atom_site_occupancy
N1 N 0.000 0.000 0.500 1
Ca1 Ca 0.500 0.500 0.500 1
Ag1 Ag 0.000 0.000 0.000 1
Se1 Se 0.000 0.500 0.000 1
Se2 Se 0.500 0.000 0.000 1
```

***

two.
CaAgSe2N | GGA-PBE | optimized geometry

## Properties
- N(E_F) (states/eV/f.u.) = 7.159

CIF file:
```
data_CaAgSe2N
_chemical_formula_sum 'Ca1 Ag1 Se2 N1'
_space_group_name_H-M_alt 'P 1'
_space_group_IT_number 1
_space_group_name_Hall 'P 1'
_cell_length_a 5.474
_cell_length_b 5.474
_cell_length_c 4.377
_cell_angle_alpha 90.00
_cell_angle_beta 90.00
_cell_angle_gamma 90.00
loop_
_atom_site_label
_atom_site_type_symbol
_atom_site_fract_x
_atom_site_fract_y
_atom_site_fract_z
_atom_site_occupancy
Ca1 Ca 0.000 0.000 0.000 1
Se1 Se 0.500 0.000 0.000 1
Se2 Se 0.000 0.500 0.000 1
N1 N 0.000 0.000 0.500 1
Ag1 Ag 0.500 0.500 0.500 1
```

***

Most stable: one (next structure +0.621 eV/atom)

***

one.
CaAgTe2N | GGA-PBE | optimized geometry

## Properties
- N(E_F) (states/eV/f.u.) = 6.707

CIF file:
```
data_CaAgTe2N
_chemical_formula_sum 'Ca1 Ag1 Te2 N1'
_space_group_name_H-M_alt 'P 1'
_space_group_IT_number 1
_space_group_name_Hall 'P 1'
_cell_length_a 5.971
_cell_length_b 5.971
_cell_length_c 4.135
_cell_angle_alpha 90.00
_cell_angle_beta 90.00
_cell_angle_gamma 90.00
loop_
_atom_site_label
_atom_site_type_symbol
_atom_site_fract_x
_atom_site_fract_y
_atom_site_fract_z
_atom_site_occupancy
Ca1 Ca 0.000 0.000 0.000 1
Te1 Te 0.500 0.000 0.000 1
Te2 Te 0.000 0.500 0.000 1
Ag1 Ag 0.500 0.500 0.500 1
N1 N 0.000 0.000 0.500 1
```

***

two.
CaAgTe2N | GGA-PBE | optimized geometry

## Properties
- N(E_F) (states/eV/f.u.) = 3.549

CIF file:
```
data_CaAgTe2N
_chemical_formula_sum 'Ca1 Ag1 Te2 N1'
_space_group_name_H-M_alt 'P 1'
_space_group_IT_number 1
_space_group_name_Hall 'P 1'
_cell_length_a 5.700
_cell_length_b 5.700
_cell_length_c 4.050
_cell_angle_alpha 90.00
_cell_angle_beta 90.00
_cell_angle_gamma 90.00
loop_
_atom_site_label
_atom_site_type_symbol
_atom_site_fract_x
_atom_site_fract_y
_atom_site_fract_z
_atom_site_occupancy
Te1 Te 0.500 0.000 0.000 1
Te2 Te 0.000 0.500 0.000 1
N1 N 0.000 0.000 0.500 1
Ca1 Ca 0.500 0.500 0.500 1
Ag1 Ag 0.000 0.000 0.000 1
```

***

Most stable: two (next structure +0.515 eV/atom)

***

one.
Na2Ca2Ag | GGA-PBE | optimized geometry

## Properties
- N(E_F) (states/eV/f.u.) = 3.492

CIF file:
```
data_Na2Ca2Ag
_chemical_formula_sum 'Na2 Ca2 Ag1'
_space_group_name_H-M_alt 'P 1'
_space_group_IT_number 1
_space_group_name_Hall 'P 1'
_cell_length_a 4.045
_cell_length_b 4.045
_cell_length_c 10.414
_cell_angle_alpha 78.80
_cell_angle_beta 78.80
_cell_angle_gamma 90.00
loop_
_atom_site_label
_atom_site_type_symbol
_atom_site_fract_x
_atom_site_fract_y
_atom_site_fract_z
_atom_site_occupancy
Ca1 Ca 0.414 0.414 0.171 1
Ca2 Ca 0.586 0.586 0.829 1
Na1 Na 0.750 0.250 0.500 1
Na2 Na 0.250 0.750 0.500 1
Ag1 Ag 0.000 0.000 0.000 1
```

***

two.
Na2Ca2Ag | GGA-PBE | optimized geometry

## Properties
- N(E_F) (states/eV/f.u.) = 3.626

CIF file:
```
data_Na2Ca2Ag
_chemical_formula_sum 'Na4 Ca4 Ag2'
_space_group_name_H-M_alt 'P 1'
_space_group_IT_number 1
_space_group_name_Hall 'P 1'
_cell_length_a 7.965
_cell_length_b 7.965
_cell_length_c 5.966
_cell_angle_alpha 90.00
_cell_angle_beta 90.00
_cell_angle_gamma 90.00
loop_
_atom_site_label
_atom_site_type_symbol
_atom_site_fract_x
_atom_site_fract_y
_atom_site_fract_z
_atom_site_occupancy
Ag1 Ag 0.000 0.000 0.000 1
Ag2 Ag 0.500 0.500 0.000 1
Na1 Na 0.343 0.157 0.500 1
Na2 Na 0.657 0.843 0.500 1
Na3 Na 0.157 0.657 0.500 1
Na4 Na 0.843 0.343 0.500 1
Ca1 Ca 0.665 0.165 0.000 1
Ca2 Ca 0.165 0.335 0.000 1
Ca3 Ca 0.835 0.665 0.000 1
Ca4 Ca 0.335 0.835 0.000 1
```

***

Most stable: one (next structure +0.032 eV/atom)

***

one.
NaCaAg | GGA-PBE | optimized geometry

## Properties
- N(E_F) (states/eV/f.u.) = 1.052

CIF file:
```
data_NaCaAg
_chemical_formula_sum 'Na1 Ca1 Ag1'
_space_group_name_H-M_alt 'P 1'
_space_group_IT_number 1
_space_group_name_Hall 'P 1'
_cell_length_a 5.113
_cell_length_b 5.113
_cell_length_c 5.113
_cell_angle_alpha 60.00
_cell_angle_beta 60.00
_cell_angle_gamma 60.00
loop_
_atom_site_label
_atom_site_type_symbol
_atom_site_fract_x
_atom_site_fract_y
_atom_site_fract_z
_atom_site_occupancy
Ag1 Ag 0.250 0.250 0.250 1
Ca1 Ca 0.500 0.500 0.500 1
Na1 Na 0.000 0.000 0.000 1
```

***

two.
NaCaAg | GGA-PBE | optimized geometry

## Properties
- N(E_F) (states/eV/f.u.) = 1.439

CIF file:
```
data_NaCaAg
_chemical_formula_sum 'Na2 Ca2 Ag2'
_space_group_name_H-M_alt 'P 1'
_space_group_IT_number 1
_space_group_name_Hall 'P 1'
_cell_length_a 4.663
_cell_length_b 3.911
_cell_length_c 10.443
_cell_angle_alpha 90.13
_cell_angle_beta 90.00
_cell_angle_gamma 90.00
loop_
_atom_site_label
_atom_site_type_symbol
_atom_site_fract_x
_atom_site_fract_y
_atom_site_fract_z
_atom_site_occupancy
Ca1 Ca 0.250 0.999 0.841 1
Ca2 Ca 0.750 0.001 0.159 1
Na1 Na 0.750 0.498 0.616 1
Na2 Na 0.250 0.502 0.384 1
Ag1 Ag 0.750 0.500 0.917 1
Ag2 Ag 0.250 0.500 0.083 1
```

***

three.
NaCaAg | GGA-PBE | optimized geometry

## Properties
- N(E_F) (states/eV/f.u.) = 2.046

CIF file:
```
data_NaCaAg
_chemical_formula_sum 'Na1 Ca1 Ag1'
_space_group_name_H-M_alt 'P 1'
_space_group_IT_number 1
_space_group_name_Hall 'P 1'
_cell_length_a 3.821
_cell_length_b 5.059
_cell_length_c 5.059
_cell_angle_alpha 120.00
_cell_angle_beta 90.00
_cell_angle_gamma 90.00
loop_
_atom_site_label
_atom_site_type_symbol
_atom_site_fract_x
_atom_site_fract_y
_atom_site_fract_z
_atom_site_occupancy
Ag1 Ag 0.178 0.333 0.667 1
Na1 Na 0.157 0.000 0.000 1
Ca1 Ca 0.665 0.667 0.333 1
```

***

four.
NaCaAg | GGA-PBE | optimized geometry

## Properties
- N(E_F) (states/eV/f.u.) = 1.325

CIF file:
```
data_NaCaAg
_chemical_formula_sum 'Na2 Ca2 Ag2'
_space_group_name_H-M_alt 'P 1'
_space_group_IT_number 1
_space_group_name_Hall 'P 1'
_cell_length_a 5.202
_cell_length_b 5.173
_cell_length_c 8.029
_cell_angle_alpha 108.37
_cell_angle_beta 90.00
_cell_angle_gamma 120.19
loop_
_atom_site_label
_atom_site_type_symbol
_atom_site_fract_x
_atom_site_fract_y
_atom_site_fract_z
_atom_site_occupancy
Na1 Na 0.371 0.742 0.110 1
Na2 Na 0.629 0.258 0.890 1
Ca1 Ca 0.789 0.578 0.367 1
Ca2 Ca 0.211 0.422 0.633 1
Ag1 Ag 0.068 0.136 0.201 1
Ag2 Ag 0.932 0.864 0.799 1
```

***

Most stable: two (next structure +0.084 eV/atom)